[1]
Compound: GdGaI
Source: the Alexandria database
Functional: SCAN
Structure: PBEsol geometry

a = 4.1541 Å, b = 4.1541 Å, c = 11.4490 Å
α = 90.00°, β = 90.00°, γ = 120.00°
Space group P-3m1 (No. 164)
Inequivalent atoms, fractional coordinates:
Gd 0.0000 0.0000 0.1752 (multiplicity 2)
Ga 0.3333 0.6667 0.9737 (multiplicity 2)
I 0.3333 0.6667 0.3486 (multiplicity 2)

DFT total energy ... -38.442 eV per atom
DOS(E_F) ... 0.17 states/eV/atom
Formation energy (no corrections) ... -1140.9 meV/atom


[2]
Compound: LiP2SCl
Source: the Alexandria database
Functional: SCAN
Structure: PBEsol geometry

a = 4.518 Å, b = 4.518 Å, c = 4.049 Å
α = 90.00°, β = 90.00°, γ = 90.00°
Space group P4/mmm (No. 123)
Inequivalent atoms, fractional coordinates:
Li 0.000 0.000 0.000 (multiplicity 1)
P 0.000 0.500 0.000 (multiplicity 2)
S 0.500 0.500 0.500 (multiplicity 1)
Cl 0.000 0.000 0.500 (multiplicity 1)

Relative energy among the computed polymorphs ... 476.1 meV per atom
DFT total energy ... -7.374 eV per atom
DOS(E_F) ... 0.53 states/eV/atom
Formation energy (no corrections) ... 784.1 meV/atom


[3]
Compound: LuMg16Al12
Source: the Alexandria database
Functional: SCAN
Structure: PBEsol geometry

a = 10.459 Å, b = 10.459 Å, c = 10.459 Å
α = 90.00°, β = 90.00°, γ = 90.00°
Space group I-43m (No. 217)
Inequivalent atoms, fractional coordinates:
Lu 0.000 0.000 0.000 (multiplicity 2)
Mg 0.039 0.358 0.642 (multiplicity 24)
Mg 0.177 0.177 0.177 (multiplicity 8)
Al 0.090 0.090 0.724 (multiplicity 24)

Relative energy among the computed polymorphs ... 0.0 meV per atom
Energy relative to the elements ... -197 kJ/mol of formula units
DFT total energy ... -7.930 eV per atom
DOS(E_F) ... 0.36 states/eV/atom


[4]
Compound: Fe4TcRh
Source: the Alexandria database
Functional: SCAN
Structure: PBEsol geometry

a = 6.505 Å, b = 6.505 Å, c = 6.505 Å
α = 90.00°, β = 90.00°, γ = 90.00°
Space group F-43m (No. 216)
Inequivalent atoms, fractional coordinates:
Fe 0.125 0.125 0.125 (multiplicity 16)
Tc 0.000 0.000 0.500 (multiplicity 4)
Rh 0.250 0.250 0.750 (multiplicity 4)

Energy relative to the elements ... 26 kJ/mol of formula units
DFT total energy ... -23.513 eV per atom
DOS(E_F) ... 0.70 states/eV/atom


[5]
Compound: Mg2H2O3
Source: the Alexandria database
Functional: SCAN
Structure: PBEsol geometry

a = 3.0644 Å, b = 3.0644 Å, c = 7.2556 Å
α = 90.00°, β = 90.00°, γ = 120.00°
Space group P-3m1 (No. 164)
Inequivalent atoms, fractional coordinates:
Mg 0.3333 0.6667 0.1675 (multiplicity 2)
H 0.3333 0.6667 0.5528 (multiplicity 2)
O 0.0000 0.0000 0.0000 (multiplicity 1)
O 0.3333 0.6667 0.6870 (multiplicity 2)

DFT total energy ... -7.269 eV per atom
DOS(E_F) ... 0.00 states/eV/atom


[6]
Compound: TeIrRh2
Source: the Alexandria database
Functional: SCAN
Structure: PBEsol geometry

a = 2.954 Å, b = 3.744 Å, c = 5.640 Å
α = 90.00°, β = 90.00°, γ = 90.00°
Space group Pmm2 (No. 25)
Inequivalent atoms, fractional coordinates:
Te 0.000 0.000 0.000 (multiplicity 1)
Ir 0.500 0.500 0.287 (multiplicity 1)
Rh 0.000 0.000 0.506 (multiplicity 1)
Rh 0.500 0.500 0.751 (multiplicity 1)

DFT total energy ... -43.739 eV per atom
DOS(E_F) ... 1.04 states/eV/atom
Formation energy (no corrections) ... 233.9 meV/atom


[7]
Compound: TcOsAu
Source: the Alexandria database
Functional: SCAN
Structure: PBEsol geometry

a = 4.3222 Å, b = 4.3222 Å, c = 2.8242 Å
α = 90.00°, β = 90.00°, γ = 120.00°
Space group P3m1 (No. 156)
Inequivalent atoms, fractional coordinates:
Tc 0.0000 0.0000 0.0000 (multiplicity 1)
Os 0.6667 0.3333 0.0840 (multiplicity 1)
Au 0.3333 0.6667 0.5383 (multiplicity 1)

Relative energy among the computed polymorphs ... 249.4 meV per atom
Energy relative to the elements ... 148 kJ/mol of formula units
DFT total energy ... -58.188 eV per atom
DOS(E_F) ... 0.59 states/eV/atom


[8]
Compound: NdCo2
Source: the Alexandria database
Functional: SCAN
Structure: PBEsol geometry

a = 7.136 Å, b = 7.136 Å, c = 7.136 Å
α = 90.00°, β = 90.00°, γ = 90.00°
Space group Fd-3m (No. 227, origin choice 2)
Inequivalent atoms, fractional coordinates:
Nd 0.125 0.125 0.125 (multiplicity 8)
Co 0.000 0.000 0.500 (multiplicity 16)

Energy relative to the elements ... 16 kJ/mol of formula units
DFT total energy ... -26.010 eV per atom
DOS(E_F) ... 1.03 states/eV/atom


[9]
Compound: TaAlRe2
Source: the Alexandria database
Functional: SCAN
Structure: PBEsol geometry

a = 3.133 Å, b = 4.465 Å, c = 8.752 Å
α = 90.00°, β = 90.00°, γ = 90.00°
Space group Cmm2 (No. 35)
Inequivalent atoms, fractional coordinates:
Ta 0.000 0.000 0.000 (multiplicity 2)
Al 0.000 0.500 0.260 (multiplicity 2)
Re 0.000 0.000 0.500 (multiplicity 2)
Re 0.000 0.500 0.744 (multiplicity 2)

Energy relative to the elements ... -22 kJ/mol of formula units
DFT total energy ... -54.188 eV per atom
DOS(E_F) ... 0.75 states/eV/atom


[10]
Compound: KAsRh2
Source: the Alexandria database
Functional: SCAN
Structure: PBEsol geometry

a = 3.900 Å, b = 3.900 Å, c = 8.639 Å
α = 90.00°, β = 90.00°, γ = 90.00°
Space group I-4m2 (No. 119)
Inequivalent atoms, fractional coordinates:
K 0.000 0.000 0.000 (multiplicity 2)
As 0.000 0.500 0.750 (multiplicity 2)
Rh 0.000 0.000 0.500 (multiplicity 2)
Rh 0.000 0.500 0.250 (multiplicity 2)

Energy relative to the elements ... 215 kJ/mol of formula units
DFT total energy ... -23.457 eV per atom
DOS(E_F) ... 0.96 states/eV/atom


[11]
Compound: PrInAu2
Source: the Alexandria database
Functional: SCAN
Structure: PBEsol geometry

a = 7.035 Å, b = 7.035 Å, c = 7.035 Å
α = 90.00°, β = 90.00°, γ = 90.00°
Space group Fm-3m (No. 225)
Inequivalent atoms, fractional coordinates:
Pr 0.000 0.000 0.000 (multiplicity 4)
In 0.000 0.000 0.500 (multiplicity 4)
Au 0.250 0.250 0.250 (multiplicity 8)

Energy relative to the elements ... -316 kJ/mol of formula units
DFT total energy ... -54.574 eV per atom
DOS(E_F) ... 0.40 states/eV/atom


[12]
Compound: YSc2Pt
Source: the Alexandria database
Functional: SCAN
Structure: PBEsol geometry

a = 3.453 Å, b = 4.937 Å, c = 10.312 Å
α = 90.00°, β = 90.00°, γ = 90.00°
Space group Immm (No. 71)
Inequivalent atoms, fractional coordinates:
Y 0.000 0.000 0.000 (multiplicity 2)
Sc 0.000 0.500 0.207 (multiplicity 4)
Pt 0.000 0.000 0.500 (multiplicity 2)

Energy relative to the elements ... -310 kJ/mol of formula units
DFT total energy ... -32.430 eV per atom
DOS(E_F) ... 1.11 states/eV/atom